# Ba2WO5

Crystalline Ba2WO5 at its relaxed geometry (PBE with a Hubbard U, the Alexandria database).

Cell: 6.0100 6.0100 6.0100 Å, 116.75 116.75 95.72°
Closest atoms and distances in Å follow each position.
Fractional positions:
Ba  0.0000  0.5000  0.5000  4 O 2.68
Ba  0.5000  0.0000  0.5000  4 O 2.68
W  0.2619  0.2619  0.0000  5 O 1.80-1.92
O  0.0382  0.0382  0.0000  1 W 1.80
O  0.1129  0.1129  0.5821  1 W 1.92
O  0.1129  0.5307  0.0000  1 W 1.92
O  0.5307  0.1129  0.0000  1 W 1.92
O  0.5307  0.5307  0.4179  1 W 1.92

Properties
* total magnetization: 0.0 μB/f.u.
* final energy: -55.69 eV/f.u.
* space-group type: I4mm
* Fermi-level density of states: 0.0 states/eV/f.u.
* energy above the most stable polymorph in this dataset: 0.922 eV/f.u.